Record 1
A relaxed LiGa2Co crystal. Source: Alexandria, functional GGA-PBE.

Cell and atoms, written as POSCAR:
```
LiGa2Co
1.0
4.171 0.000 0.000
0.000 4.171 0.000
0.000 0.000 2.918
Li Ga Co
1 2 1
Cartesian
0.000 0.000 0.000
0.000 2.085 1.459
2.085 0.000 1.459
2.085 2.085 0.000
```

## Properties
Spin magnetization ... 0.233 μB per formula unit
Space-group type ... No. 123
Energy relative to the elements ... -21.7 kJ per mole of atoms

=====

Record 2
A relaxed Tl5InPb crystal. Source: Alexandria, functional GGA-PBE.

Cell and atoms, written as POSCAR:
```
Tl5InPb
1.0
5.923 -3.357 0.000
5.923 3.357 0.000
-2.353 0.000 11.227
Tl In Pb
10 2 2
Cartesian
1.198 0.726 7.599
4.158 2.053 8.420
1.913 0.473 10.816
2.374 -0.726 1.985
3.089 -0.473 5.203
6.404 0.473 6.024
7.119 0.726 9.242
7.581 -0.473 0.411
5.335 -2.053 2.807
8.296 -0.726 3.628
0.000 0.000 0.000
-1.176 0.000 5.614
5.335 1.235 2.807
4.158 -1.235 8.420
```

## Properties
Spin magnetization ... 0.000 μB per formula unit
Space-group type ... No. 15
Energy relative to the elements ... 6.2 kJ per mole of atoms
Energy relative to the lowest polymorph listed for this composition ... 0.010 eV/atom

=====

Record 3
A relaxed K3Ni crystal. Source: Alexandria, functional GGA-PBE.

Cell and atoms, written as POSCAR:
```
K3Ni
1.0
0.000 4.329 4.329
4.329 0.000 4.329
4.329 4.329 0.000
K Ni
3 1
Cartesian
0.000 0.000 0.000
2.165 2.165 2.165
6.494 6.494 6.494
4.329 4.329 4.329
```

## Properties
Spin magnetization ... 0.382 μB per formula unit
Space-group type ... No. 225
Energy relative to the elements ... 57.8 kJ per mole of atoms
Energy relative to the lowest polymorph listed for this composition ... 0.086 eV/atom